(1)
Here is an optimized crystal structure of TiTl2SbO4 from the Alexandria database. Energies are from PBE-GGA.

a = 7.3670 Å, b = 7.9502 Å, c = 5.5455 Å
α = 90.00°, β = 90.00°, γ = 90.00°
Last column: nearest neighbours and their distance in Å.
Element x y z (fractional)
Ti  0.0000  0.0930  0.0000  4 O 1.83-1.85
Ti  0.5000  0.9070  0.5000  4 O 1.83-1.85
Tl  0.2335  0.3609  0.5064  2 O 2.76-3.06
Tl  0.2665  0.6391  0.0064  2 O 2.76-3.06
Tl  0.7335  0.6391  0.0064  2 O 2.76-3.06
Tl  0.7665  0.3609  0.5064  2 O 2.76-3.06
Sb  0.0000  0.7923  0.5210  4 O 2.00-2.20
Sb  0.5000  0.2077  0.0210  4 O 2.00-2.20
O  0.0000  0.0162  0.6848  1 Ti 1.85, 1 Sb 2.00
O  0.0000  0.9044  0.1935  1 Ti 1.84, 1 Sb 2.02
O  0.2027  0.2197  0.0543  1 Ti 1.83
O  0.2973  0.7803  0.5543  1 Ti 1.83
O  0.5000  0.0956  0.6935  1 Ti 1.84, 1 Sb 2.02
O  0.5000  0.9838  0.1848  1 Ti 1.85, 1 Sb 2.00
O  0.7027  0.7803  0.5543  1 Ti 1.83
O  0.7973  0.2197  0.0543  1 Ti 1.83

Values from the calculation:
* formation energy (no corrections): -1.5898 eV/atom
* calculated volume: 324.80 Å³ per cell
* space group: Pmn2_1 (31)

---

(2)
Here is an optimized crystal structure of HfTi4Cu from the Alexandria database. Energies are from PBE-GGA.

a = 2.9547 Å, b = 2.9547 Å, c = 11.8608 Å
α = 90.00°, β = 90.00°, γ = 90.00°
Last column: nearest neighbours and their distance in Å.
Element x y z (fractional)
Hf  0.0000  0.0000  0.0000  4 Hf 2.95, 8 Ti 3.09
Ti  0.0000  0.0000  0.3535  4 Cu 2.72, 8 Ti 2.84-2.95
Ti  0.0000  0.0000  0.6465  4 Cu 2.72, 8 Ti 2.84-2.95
Ti  0.5000  0.5000  0.1915  8 Ti 2.84-2.95, 4 Hf 3.09
Ti  0.5000  0.5000  0.8085  8 Ti 2.84-2.95, 4 Hf 3.09
Cu  0.5000  0.5000  0.5000  8 Ti 2.72, 4 Cu 2.95

Values from the calculation:
* calculated formation energy: -0.01 eV/atom
* calculated volume: 103.55 Å³ per cell
* space group: P4/mmm (123)

---

(3)
Here is an optimized crystal structure of Pm10HoTm4 from the Alexandria database. Energies are from PBE-GGA.

a = 9.4865 Å, b = 9.4865 Å, c = 9.4865 Å
α = 99.57°, β = 99.57°, γ = 131.87°
Last column: nearest neighbours and their distance in Å.
Element x y z (fractional)
Pm  0.0495  0.3500  0.8991  3 Tm 3.35, 1 Ho 3.36
Pm  0.1504  0.0495  0.6996  3 Tm 3.35, 1 Ho 3.36
Pm  0.2500  0.7500  0.5000  4 Tm 3.36
Pm  0.3500  0.4509  0.3004  3 Tm 3.35, 1 Ho 3.36
Pm  0.4509  0.1504  0.1009  3 Tm 3.35, 1 Ho 3.36
Pm  0.5491  0.8496  0.8991  3 Tm 3.35, 1 Ho 3.36
Pm  0.6500  0.5491  0.6996  3 Tm 3.35, 1 Ho 3.36
Pm  0.7500  0.2500  0.5000  4 Tm 3.36
Pm  0.8496  0.9505  0.3004  3 Tm 3.35, 1 Ho 3.36
Pm  0.9505  0.6500  0.1009  3 Tm 3.35, 1 Ho 3.36
Ho  0.0000  0.0000  0.0000  8 Pm 3.36
Tm  0.2004  0.3998  0.6002  8 Pm 3.35-3.36
Tm  0.3998  0.7996  0.1994  8 Pm 3.35-3.36
Tm  0.6002  0.2004  0.8006  8 Pm 3.35-3.36
Tm  0.7996  0.6002  0.3998  8 Pm 3.35-3.36

Values from the calculation:
* calculated formation energy: 0.69 eV/atom
* calculated volume: 580.50 Å³ per cell
* space group: I4/m (87)

---

- What is the calculated volume in the second record?
  103.55 Å³ per cell